[1]
A geometry-optimized Dy3ZrAg3S8 structure, computed with GGA-PBE.

- Total energy: -5.581 eV/atom
- Total magnetization: 0.00 μB per atom

a b c (Å): 7.755 7.755 7.788
angles (deg): 118.77 118.77 61.39
Positions (direct):
Dy: 0.000 0.000 0.000
Dy: 0.000 0.500 0.500
Dy: 0.500 0.000 0.500
Zr: 0.500 0.500 0.000
Ag: 0.000 0.500 0.000
Ag: 0.500 0.000 0.000
Ag: 0.500 0.500 0.500
S: 0.247 0.247 0.254
S: 0.259 0.736 0.766
S: 0.264 0.264 0.757
S: 0.264 0.741 0.234
S: 0.736 0.259 0.766
S: 0.736 0.736 0.243
S: 0.741 0.264 0.234
S: 0.753 0.753 0.746



[2]
A geometry-optimized Er6BiSb2As3 structure, computed with GGA-PBE.

- Total energy: -5.693 eV/atom
- Total magnetization: 0.00 μB per atom
- Fermi-level density of states: 0.156 states/eV/atom

a b c (Å): 9.489 9.489 8.511
angles (deg): 103.79 103.79 25.60
Positions (direct):
Er: 0.004 0.004 0.235
Er: 0.327 0.327 0.426
Er: 0.337 0.337 0.907
Er: 0.663 0.663 0.093
Er: 0.673 0.673 0.574
Er: 0.996 0.996 0.765
Bi: 0.500 0.500 0.500
Sb: 0.166 0.166 0.833
Sb: 0.834 0.834 0.167
As: 0.166 0.166 0.333
As: 0.500 0.500 0.000
As: 0.834 0.834 0.667



[3]
A geometry-optimized ThCr2SiC structure, computed with GGA-PBE.

- Total energy: -8.658 eV/atom
- Total magnetization: 0.00 μB per atom
- Fermi-level density of states: 0.701 states/eV/atom

a b c (Å): 5.695 5.695 7.378
angles (deg): 90.00 90.00 141.27
Positions (direct):
Th: 0.041 0.959 0.750
Th: 0.959 0.041 0.250
Cr: 0.325 0.675 0.557
Cr: 0.325 0.675 0.943
Cr: 0.675 0.325 0.057
Cr: 0.675 0.325 0.443
Si: 0.237 0.763 0.250
Si: 0.763 0.237 0.750
C: 0.500 0.500 0.000
C: 0.500 0.500 0.500



[4]
A geometry-optimized Ag4SbBr structure, computed with GGA-PBE.

- Total energy: -2.655 eV/atom
- Total magnetization: 0.00 μB per atom
- Fermi-level density of states: 0.786 states/eV/atom

a b c (Å): 5.684 5.684 5.684
angles (deg): 60.00 60.00 60.00
Positions (direct):
Ag: 0.125 0.125 0.125
Ag: 0.125 0.125 0.624
Ag: 0.125 0.624 0.125
Ag: 0.624 0.125 0.125
Sb: 0.500 0.500 0.500
Br: 0.750 0.750 0.750



[5]
A geometry-optimized SiPb structure, computed with GGA-PBE.

- Total energy: -4.244 eV/atom
- Total magnetization: 0.00 μB per atom
- Fermi-level density of states: 0.460 states/eV/atom

a b c (Å): 3.483 3.483 7.876
angles (deg): 90.00 90.00 90.00
Positions (direct):
Si: 0.250 0.250 0.040
Si: 0.750 0.750 0.960
Pb: 0.250 0.250 0.667
Pb: 0.750 0.750 0.333



[6]
A geometry-optimized Be2HgIr2 structure, computed with GGA-PBE.

- Calculated formation energy: -0.029 eV per atom
- Total energy: -5.124 eV/atom
- Total magnetization: 0.00 μB per atom
- E above lowest polymorph: 0.0833 eV per atom
- Fermi-level density of states: 0.468 states/eV/atom

a b c (Å): 6.913 6.913 2.866
angles (deg): 90.00 90.00 90.00
Positions (direct):
Be: 0.148 0.352 0.000
Be: 0.352 0.852 0.000
Be: 0.648 0.148 0.000
Be: 0.852 0.648 0.000
Hg: 0.000 0.000 0.500
Hg: 0.500 0.500 0.500
Ir: 0.139 0.639 0.500
Ir: 0.361 0.139 0.500
Ir: 0.639 0.861 0.500
Ir: 0.861 0.361 0.500